[1]
The following is a DFT calculation (GGA-PBE) of a relaxed structure of SrMgPd.

Cell: 4.954 4.954 4.954 Å, 60.00 60.00 60.00°
Fractional coordinates of all 3 atoms:
Mg 0.000 0.000 0.000
Sr 0.500 0.500 0.500
Pd 0.250 0.250 0.250

Calculated values
E_tot in eV/atom: -3.20
Formation energy from the elements in eV/atom: -0.38

=====

[2]
The following is a DFT calculation (GGA-PBE) of a relaxed structure of SrMg4Pd2.

Cell: 4.506 8.308 8.308 Å, 90.00 90.00 90.00°
Fractional coordinates of all 14 atoms:
Pd 0.000 0.771 0.229
Pd 0.500 0.729 0.729
Pd 0.000 0.229 0.771
Pd 0.500 0.271 0.271
Mg 0.500 0.838 0.412
Mg 0.000 0.338 0.088
Mg 0.000 0.662 0.912
Mg 0.500 0.162 0.588
Mg 0.000 0.912 0.662
Mg 0.000 0.088 0.338
Mg 0.500 0.588 0.162
Mg 0.500 0.412 0.838
Sr 0.000 0.500 0.500
Sr 0.500 0.000 0.000

Calculated values
E_tot in eV/atom: -3.13
Formation energy from the elements in eV/atom: -0.49

=====

[3]
The following is a DFT calculation (GGA-PBE) of a relaxed structure of SrMgTe2Pd.

Cell: 5.580 4.821 5.580 Å, 90.00 90.00 90.00°
Fractional coordinates of all 5 atoms:
Te 0.000 0.000 0.500
Te 0.500 0.000 0.000
Pd 0.000 0.500 0.000
Mg 0.000 0.000 0.000
Sr 0.500 0.500 0.500

Calculated values
E_tot in eV/atom: -3.47
Raw formation energy in eV/f.u.: -2.57

=====

[4]
The following is a DFT calculation (GGA-PBE) of a relaxed structure of SrMgTiPd2.

Cell: 5.056 5.452 5.056 Å, 90.00 90.00 90.00°
Fractional coordinates of all 5 atoms:
Mg 0.000 0.500 0.000
Pd 0.500 0.000 0.000
Pd 0.000 0.000 0.500
Sr 0.000 0.000 0.000
Ti 0.500 0.500 0.500

Calculated values
E_tot in eV/atom: -3.07
Formation energy from the elements in eV/atom: 1.25

=====

[5]
The following is a DFT calculation (GGA-PBE) of a relaxed structure of Sr2MgTlPd.

Cell: 5.862 5.862 5.095 Å, 90.00 90.00 90.00°
Fractional coordinates of all 5 atoms:
Tl 0.500 0.500 0.500
Sr 0.000 0.500 0.000
Sr 0.500 0.000 0.000
Pd 0.000 0.000 0.000
Mg 0.000 0.000 0.500

Calculated values
E_tot in eV/atom: -2.82
Formation energy from the elements in eV/atom: -0.31

=====

[6]
The following is a DFT calculation (GGA-PBE) of a relaxed structure of SrYMg2Pd.

Cell: 5.285 5.285 5.297 Å, 90.00 90.00 90.00°
Fractional coordinates of all 5 atoms:
Pd 0.000 0.000 0.000
Y 0.000 0.000 0.500
Sr 0.500 0.500 0.500
Mg 0.500 0.000 0.000
Mg 0.000 0.500 0.000

Calculated values
E_tot in eV/atom: -3.58
Formation energy from the elements in eV/atom: -0.28

=====

[7]
The following is a DFT calculation (GGA-PBE) of a relaxed structure of SrY2MgPd.

Cell: 5.494 5.494 5.324 Å, 90.00 90.00 90.00°
Fractional coordinates of all 5 atoms:
Sr 0.500 0.500 0.500
Mg 0.000 0.000 0.500
Y 0.000 0.500 0.000
Y 0.500 0.000 0.000
Pd 0.000 0.000 0.000

Calculated values
E_tot in eV/atom: -4.51
Formation energy from the elements in eV/atom: -0.23

=====

[8]
The following is a DFT calculation (GGA-PBE) of a relaxed structure of Sr2MgZn12Pd3.

Cell: 8.284 8.284 8.284 Å, 64.30 64.30 64.30°
Fractional coordinates of all 18 atoms:
Zn 0.874 0.372 0.874
Zn 0.372 0.874 0.874
Zn 0.320 0.320 0.845
Zn 0.680 0.680 0.155
Zn 0.320 0.845 0.320
Zn 0.155 0.680 0.680
Zn 0.845 0.320 0.320
Zn 0.126 0.628 0.126
Zn 0.126 0.126 0.628
Zn 0.628 0.126 0.126
Zn 0.874 0.874 0.372
Zn 0.680 0.155 0.680
Sr 0.393 0.393 0.393
Sr 0.607 0.607 0.607
Pd 0.000 0.000 0.500
Pd 0.000 0.500 0.000
Pd 0.500 0.000 0.000
Mg 0.000 0.000 0.000

Calculated values
E_tot in eV/atom: -1.92
Formation energy from the elements in eV/atom: 0.07

=====

[9]
The following is a DFT calculation (GGA-PBE) of a relaxed structure of Sr2MgZnPd.

Cell: 5.853 5.853 4.950 Å, 90.00 90.00 90.00°
Fractional coordinates of all 5 atoms:
Mg 0.500 0.500 0.500
Sr 0.500 0.000 0.000
Sr 0.000 0.500 0.000
Pd 0.000 0.000 0.000
Zn 0.000 0.000 0.500

Calculated values
E_tot in eV/atom: -2.47
Formation energy from the elements in eV/atom: -0.19
ΔE to the lowest computed polymorph in eV/f.u.: 0.044

=====

[10]
The following is a DFT calculation (GGA-PBE) of a relaxed structure of Sr2MgZnPd2.

Cell: 6.195 6.259 8.857 Å, 110.69 110.47 90.00°
Fractional coordinates of all 12 atoms:
Mg 0.500 0.750 0.000
Mg 0.500 0.250 0.000
Pd 0.346 0.602 0.204
Pd 0.142 0.898 0.796
Pd 0.654 0.398 0.796
Pd 0.858 0.102 0.204
Zn 0.000 0.750 0.000
Zn 0.000 0.250 0.000
Sr 0.587 0.830 0.661
Sr 0.413 0.170 0.339
Sr 0.074 0.330 0.661
Sr 0.926 0.670 0.339

Calculated values
E_tot in eV/atom: -3.31
Formation energy from the elements in eV/atom: -0.54

=====

[11]
The following is a DFT calculation (GGA-PBE) of a relaxed structure of SrMgZnPd2.

Cell: 4.250 4.250 6.617 Å, 108.73 108.73 90.00°
Fractional coordinates of all 5 atoms:
Pd 0.384 0.384 0.768
Pd 0.616 0.616 0.232
Sr 0.000 0.000 0.000
Zn 0.250 0.750 0.500
Mg 0.750 0.250 0.500

Calculated values
E_tot in eV/atom: -3.57
Formation energy from the elements in eV/atom: -0.58

=====

[12]
The following is a DFT calculation (GGA-PBE) of a relaxed structure of Sr2Mg3Zn12Pd.

Cell: 11.476 11.476 11.476 Å, 31.95 31.95 31.95°
Fractional coordinates of all 18 atoms:
Zn 0.420 0.834 0.420
Zn 0.918 0.355 0.918
Zn 0.580 0.580 0.166
Zn 0.355 0.918 0.918
Zn 0.580 0.166 0.580
Zn 0.082 0.082 0.645
Zn 0.082 0.645 0.082
Zn 0.918 0.918 0.355
Zn 0.645 0.082 0.082
Zn 0.834 0.420 0.420
Zn 0.420 0.420 0.834
Zn 0.166 0.580 0.580
Pd 0.000 0.000 0.000
Mg 0.000 0.000 0.500
Mg 0.000 0.500 0.000
Mg 0.500 0.000 0.000
Sr 0.352 0.352 0.352
Sr 0.648 0.648 0.648

Calculated values
E_tot in eV/atom: -1.66
Formation energy from the elements in eV/atom: -0.07